A plane-wave DFT calculation with PBE-GGA was carried out for an optimized crystal structure of La5Tb2PrEr.

a = 9.5638 Å, b = 9.5638 Å, c = 9.8009 Å
α = 119.20°, β = 119.20°, γ = 90.00°
With the nearest neighbours (Å) after each atom.
Sites, in units of the cell vectors:
Pr  0.2500  0.2500  0.5000  10 La 3.55-3.81
Pr  0.7500  0.7500  0.5000  10 La 3.55-3.81
La  0.3374  0.8374  0.2702  1 Er 3.18, 1 Tb 3.20, 1 La 3.51
La  0.4328  0.3374  0.2702  1 Er 3.18, 1 Tb 3.20, 1 La 3.51
La  0.5000  0.5000  0.0000  2 Pr 3.55, 4 Tb 3.89, 8 La 3.94
La  0.0672  0.5672  0.7298  1 Er 3.18, 1 Tb 3.20, 1 La 3.51
La  0.8374  0.9328  0.2702  1 Er 3.18, 1 Tb 3.20, 1 La 3.51
La  0.5672  0.6626  0.7298  1 Er 3.18, 1 Tb 3.20, 1 La 3.51
La  0.0000  0.0000  0.0000  2 Pr 3.55, 4 Tb 3.89, 8 La 3.94
La  0.1626  0.0672  0.7298  1 Er 3.18, 1 Tb 3.20, 1 La 3.51
La  0.9328  0.4328  0.2702  1 Er 3.18, 1 Tb 3.20, 1 La 3.51
La  0.6626  0.1626  0.7298  1 Er 3.18, 1 Tb 3.20, 1 La 3.51
Tb  0.3918  0.8918  0.0000  1 Tb 2.93, 2 La 3.20
Tb  0.1082  0.3918  0.0000  1 Tb 2.93, 2 La 3.20
Tb  0.8918  0.6082  0.0000  1 Tb 2.93, 2 La 3.20
Tb  0.6082  0.1082  0.0000  1 Tb 2.93, 2 La 3.20
Er  0.7500  0.2500  0.5000  4 La 3.18
Er  0.2500  0.7500  0.5000  4 La 3.18

Output
The value obtained for the formation energy is 279 meV/atom. For the magnetization, the calculation gives 0.0 μB per formula unit. Its space-group type is I4/mcm. The calculation puts the total DFT energy (no corrections) at -4.525 eV/atom.